(1)
Entry from Alexandria via LeMat-Bulk: a relaxed structure of In2Bi3Pb (GGA-PBE).

Values from the calculation:
Volume, Å³ per atom: 31.42
DFT formation energy, eV/atom: 0.04

Unit cell a=9.476 b=9.476 c=6.140 alpha=92.60 beta=92.60 gamma=43.21
Fractional coordinates of all 12 atoms:
1 In 0.029 0.314 0.089
2 In 0.314 0.029 0.589
3 In 0.686 0.971 0.411
4 In 0.971 0.686 0.911
5 Bi 0.147 0.853 0.250
6 Bi 0.159 0.512 0.410
7 Bi 0.488 0.841 0.090
8 Bi 0.512 0.159 0.910
9 Bi 0.841 0.488 0.590
10 Bi 0.853 0.147 0.750
11 Pb 0.352 0.648 0.750
12 Pb 0.648 0.352 0.250

(2)
Entry from Alexandria via LeMat-Bulk: a relaxed structure of InBi3Pb3 (GGA-PBE).

Values from the calculation:
Volume, Å³ per atom: 31.36
DFT formation energy, eV/atom: 0.05

Unit cell a=7.891 b=7.891 c=7.891 alpha=73.22 beta=73.22 gamma=73.22
Fractional coordinates of all 14 atoms:
1 In 0.247 0.247 0.247
2 In 0.753 0.753 0.753
3 Bi 0.034 0.892 0.331
4 Bi 0.108 0.669 0.966
5 Bi 0.331 0.034 0.892
6 Bi 0.669 0.966 0.108
7 Bi 0.892 0.331 0.034
8 Bi 0.966 0.108 0.669
9 Pb 0.175 0.461 0.608
10 Pb 0.392 0.825 0.539
11 Pb 0.461 0.608 0.175
12 Pb 0.539 0.392 0.825
13 Pb 0.608 0.175 0.461
14 Pb 0.825 0.539 0.392

(3)
Entry from Alexandria via LeMat-Bulk: a relaxed structure of InBi2Pb3 (GGA-PBE).

Values from the calculation:
Volume, Å³ per atom: 33.19
DFT formation energy, eV/atom: 0.08

Unit cell a=10.459 b=10.459 c=8.999 alpha=105.36 beta=105.36 gamma=24.86
Fractional coordinates of all 12 atoms:
1 In 0.095 0.095 0.024
2 In 0.905 0.905 0.976
3 Bi 0.215 0.215 0.379
4 Bi 0.476 0.476 0.793
5 Bi 0.524 0.524 0.207
6 Bi 0.785 0.785 0.621
7 Pb 0.077 0.077 0.467
8 Pb 0.267 0.267 0.872
9 Pb 0.370 0.370 0.238
10 Pb 0.630 0.630 0.762
11 Pb 0.733 0.733 0.128
12 Pb 0.923 0.923 0.533

(4)
Entry from Alexandria via LeMat-Bulk: a relaxed structure of In9Bi4Pb11 (GGA-PBE).

Values from the calculation:
Volume, Å³ per atom: 31.09
DFT formation energy, eV/atom: 0.04

Unit cell a=13.261 b=13.261 c=4.433 alpha=90.00 beta=90.00 gamma=106.82
Fractional coordinates of all 24 atoms:
1 In 0.000 0.000 0.000
2 In 0.121 0.647 0.000
3 In 0.305 0.485 0.000
4 In 0.353 0.879 0.000
5 In 0.485 0.305 0.000
6 In 0.515 0.695 0.000
7 In 0.647 0.121 0.000
8 In 0.695 0.515 0.000
9 In 0.879 0.353 0.000
10 Bi 0.066 0.249 0.000
11 Bi 0.249 0.066 0.000
12 Bi 0.751 0.934 0.000
13 Bi 0.934 0.751 0.000
14 Pb 0.101 0.446 0.500
15 Pb 0.140 0.860 0.500
16 Pb 0.272 0.272 0.500
17 Pb 0.314 0.686 0.500
18 Pb 0.446 0.101 0.500
19 Pb 0.500 0.500 0.500
20 Pb 0.554 0.899 0.500
21 Pb 0.686 0.314 0.500
22 Pb 0.728 0.728 0.500
23 Pb 0.860 0.140 0.500
24 Pb 0.899 0.554 0.500

(5)
Entry from Alexandria via LeMat-Bulk: a relaxed structure of In5Bi2Pb12 (GGA-PBE).

Values from the calculation:
Volume, Å³ per atom: 31.65
DFT formation energy, eV/atom: 0.06

Unit cell a=10.708 b=10.708 c=6.000 alpha=103.48 beta=103.48 gamma=65.49
Fractional coordinates of all 19 atoms:
1 In 0.000 0.000 0.000
2 In 0.197 0.197 0.103
3 In 0.305 0.305 0.676
4 In 0.695 0.695 0.324
5 In 0.803 0.803 0.897
6 Bi 0.259 0.741 0.500
7 Bi 0.741 0.259 0.500
8 Pb 0.053 0.544 0.299
9 Pb 0.103 0.103 0.546
10 Pb 0.157 0.647 0.900
11 Pb 0.353 0.843 0.100
12 Pb 0.404 0.404 0.258
13 Pb 0.456 0.947 0.701
14 Pb 0.544 0.053 0.299
15 Pb 0.596 0.596 0.742
16 Pb 0.647 0.157 0.900
17 Pb 0.843 0.353 0.100
18 Pb 0.897 0.897 0.454
19 Pb 0.947 0.456 0.701

(6)
Entry from Alexandria via LeMat-Bulk: a relaxed structure of In4Bi3Pb3 (GGA-PBE).

Values from the calculation:
Volume, Å³ per atom: 32.05
DFT formation energy, eV/atom: 0.07

Unit cell a=4.089 b=8.857 c=8.857 alpha=92.53 beta=90.00 gamma=90.00
Fractional coordinates of all 10 atoms:
1 In 0.000 0.000 0.000
2 In 0.000 0.295 0.295
3 In 0.000 0.571 0.945
4 In 0.000 0.945 0.571
5 Bi 0.500 0.297 0.994
6 Bi 0.500 0.787 0.787
7 Bi 0.500 0.994 0.297
8 Pb 0.000 0.282 0.695
9 Pb 0.000 0.695 0.282
10 Pb 0.500 0.524 0.524

(7)
Entry from Alexandria via LeMat-Bulk: a relaxed structure of In2Bi4Pb3 (GGA-PBE).

Values from the calculation:
Volume, Å³ per atom: 31.55
DFT formation energy, eV/atom: 0.05

Unit cell a=10.301 b=10.301 c=5.827 alpha=96.82 beta=96.82 gamma=68.11
Fractional coordinates of all 18 atoms:
1 In 0.024 0.758 0.682
2 In 0.242 0.976 0.818
3 In 0.758 0.024 0.182
4 In 0.976 0.242 0.318
5 Bi 0.067 0.344 0.870
6 Bi 0.327 0.578 0.974
7 Bi 0.344 0.067 0.370
8 Bi 0.422 0.673 0.526
9 Bi 0.578 0.327 0.474
10 Bi 0.656 0.933 0.630
11 Bi 0.673 0.422 0.026
12 Bi 0.933 0.656 0.130
13 Pb 0.111 0.889 0.250
14 Pb 0.221 0.422 0.433
15 Pb 0.422 0.221 0.933
16 Pb 0.578 0.779 0.067
17 Pb 0.779 0.578 0.567
18 Pb 0.889 0.111 0.750

(8)
Entry from Alexandria via LeMat-Bulk: a relaxed structure of In5Bi3Pb (GGA-PBE).

Values from the calculation:
Volume, Å³ per atom: 30.02
DFT formation energy, eV/atom: 0.02

Unit cell a=9.602 b=9.602 c=6.764 alpha=90.00 beta=90.00 gamma=60.05
Fractional coordinates of all 18 atoms:
1 In 0.162 0.838 0.750
2 In 0.163 0.500 0.250
3 In 0.167 0.167 0.000
4 In 0.167 0.167 0.500
5 In 0.500 0.163 0.750
6 In 0.500 0.837 0.250
7 In 0.833 0.833 0.000
8 In 0.833 0.833 0.500
9 In 0.837 0.500 0.750
10 In 0.838 0.162 0.250
11 Bi 0.171 0.500 0.750
12 Bi 0.171 0.829 0.250
13 Bi 0.500 0.171 0.250
14 Bi 0.500 0.829 0.750
15 Bi 0.829 0.171 0.750
16 Bi 0.829 0.500 0.250
17 Pb 0.500 0.500 0.000
18 Pb 0.500 0.500 0.500

(9)
Entry from Alexandria via LeMat-Bulk: a relaxed structure of In7BiPb5 (GGA-PBE).

Values from the calculation:
Volume, Å³ per atom: 30.36
DFT formation energy, eV/atom: 0.06

Unit cell a=9.429 b=9.429 c=4.815 alpha=103.14 beta=103.14 gamma=74.05
Fractional coordinates of all 13 atoms:
1 In 0.000 0.000 0.000
2 In 0.172 0.564 0.868
3 In 0.564 0.172 0.868
4 In 0.565 0.565 0.055
5 In 0.735 0.735 0.739
6 In 0.743 0.997 0.374
7 In 0.997 0.743 0.374
8 Bi 0.357 0.357 0.365
9 Pb 0.167 0.167 0.648
10 Pb 0.339 0.749 0.530
11 Pb 0.409 0.968 0.162
12 Pb 0.749 0.339 0.530
13 Pb 0.968 0.409 0.162

(10)
Entry from Alexandria via LeMat-Bulk: a relaxed structure of In3BiPb12 (GGA-PBE).

Values from the calculation:
Volume, Å³ per atom: 31.28
DFT formation energy, eV/atom: 0.05

Unit cell a=6.028 b=6.028 c=13.775 alpha=90.00 beta=90.00 gamma=90.00
Fractional coordinates of all 16 atoms:
1 In 0.000 0.000 0.000
2 In 0.000 0.000 0.243
3 In 0.000 0.000 0.757
4 Bi 0.000 0.000 0.500
5 Pb 0.000 0.500 0.123
6 Pb 0.000 0.500 0.376
7 Pb 0.000 0.500 0.624
8 Pb 0.000 0.500 0.877
9 Pb 0.500 0.000 0.123
10 Pb 0.500 0.000 0.376
11 Pb 0.500 0.000 0.624
12 Pb 0.500 0.000 0.877
13 Pb 0.500 0.500 0.000
14 Pb 0.500 0.500 0.250
15 Pb 0.500 0.500 0.500
16 Pb 0.500 0.500 0.750

(11)
Entry from Alexandria via LeMat-Bulk: a relaxed structure of In5Bi3Pb3 (GGA-PBE).

Values from the calculation:
Volume, Å³ per atom: 35.53
DFT formation energy, eV/atom: 0.17

Unit cell a=9.954 b=9.954 c=4.554 alpha=90.00 beta=90.00 gamma=120.00
Fractional coordinates of all 11 atoms:
1 In 0.000 0.368 0.000
2 In 0.333 0.667 0.000
3 In 0.368 0.000 0.000
4 In 0.632 0.632 0.000
5 In 0.667 0.333 0.000
6 Bi 0.000 0.581 0.500
7 Bi 0.419 0.419 0.500
8 Bi 0.581 0.000 0.500
9 Pb 0.000 0.798 0.000
10 Pb 0.202 0.202 0.000
11 Pb 0.798 0.000 0.000

(12)
Entry from Alexandria via LeMat-Bulk: a relaxed structure of In8Bi2Pb3 (GGA-PBE).

Values from the calculation:
Volume, Å³ per atom: 30.58
DFT formation energy, eV/atom: 0.06

Unit cell a=8.685 b=8.685 c=6.222 alpha=108.51 beta=108.51 gamma=66.26
Fractional coordinates of all 13 atoms:
1 In 0.037 0.037 0.286
2 In 0.080 0.637 0.924
3 In 0.310 0.310 0.365
4 In 0.363 0.920 0.076
5 In 0.637 0.080 0.924
6 In 0.690 0.690 0.635
7 In 0.920 0.363 0.076
8 In 0.963 0.963 0.714
9 Bi 0.229 0.229 0.772
10 Bi 0.771 0.771 0.228
11 Pb 0.302 0.698 0.500
12 Pb 0.500 0.500 0.000
13 Pb 0.698 0.302 0.500

(13)
Entry from Alexandria via LeMat-Bulk: a relaxed structure of InBi2Pb8 (GGA-PBE).

Values from the calculation:
Volume, Å³ per atom: 33.18
DFT formation energy, eV/atom: 0.08

Unit cell a=8.665 b=8.665 c=5.079 alpha=90.26 beta=90.26 gamma=106.86
Fractional coordinates of all 11 atoms:
1 In 0.000 0.000 0.000
2 Bi 0.382 0.618 0.500
3 Bi 0.618 0.382 0.500
4 Pb 0.044 0.299 0.503
5 Pb 0.231 0.769 0.000
6 Pb 0.299 0.044 0.503
7 Pb 0.328 0.328 0.001
8 Pb 0.672 0.672 0.999
9 Pb 0.701 0.956 0.497
10 Pb 0.769 0.231 0.000
11 Pb 0.956 0.701 0.497

(14)
Entry from Alexandria via LeMat-Bulk: a relaxed structure of In8BiPb5 (GGA-PBE).

Values from the calculation:
Volume, Å³ per atom: 31.49
DFT formation energy, eV/atom: 0.10

Unit cell a=8.342 b=8.342 c=8.342 alpha=105.80 beta=105.80 gamma=117.09
Fractional coordinates of all 14 atoms:
1 In 0.074 0.407 0.987
2 In 0.420 0.087 0.013
3 In 0.430 0.130 0.399
4 In 0.593 0.580 0.667
5 In 0.731 0.031 0.601
6 In 0.870 0.269 0.300
7 In 0.913 0.926 0.333
8 In 0.969 0.570 0.700
9 Bi 0.250 0.750 0.500
10 Pb 0.000 0.000 0.000
11 Pb 0.268 0.222 0.729
12 Pb 0.461 0.732 0.954
13 Pb 0.493 0.539 0.271
14 Pb 0.778 0.507 0.046

(15)
Entry from Alexandria via LeMat-Bulk: a relaxed structure of In4Bi4Pb3 (GGA-PBE).

Values from the calculation:
Volume, Å³ per atom: 30.78
DFT formation energy, eV/atom: 0.04

Unit cell a=3.431 b=5.973 c=16.712 alpha=87.47 beta=87.44 gamma=81.96
Fractional coordinates of all 11 atoms:
1 In 0.082 0.305 0.365
2 In 0.282 0.956 0.085
3 In 0.718 0.044 0.915
4 In 0.918 0.695 0.635
5 Bi 0.484 0.762 0.453
6 Bi 0.497 0.593 0.818
7 Bi 0.503 0.407 0.182
8 Bi 0.516 0.238 0.547
9 Pb 0.000 0.500 0.000
10 Pb 0.248 0.124 0.738
11 Pb 0.752 0.876 0.262

(16)
Entry from Alexandria via LeMat-Bulk: a relaxed structure of In3BiPb6 (GGA-PBE).

Values from the calculation:
Volume, Å³ per atom: 31.72
DFT formation energy, eV/atom: 0.06

Unit cell a=9.862 b=9.862 c=6.822 alpha=90.00 beta=90.00 gamma=107.03
Fractional coordinates of all 20 atoms:
1 In 0.045 0.955 0.500
2 In 0.232 0.508 0.647
3 In 0.492 0.768 0.647
4 In 0.508 0.232 0.147
5 In 0.768 0.492 0.147
6 In 0.955 0.045 0.000
7 Bi 0.233 0.767 0.320
8 Bi 0.767 0.233 0.820
9 Pb 0.078 0.473 0.080
10 Pb 0.182 0.818 0.851
11 Pb 0.208 0.259 0.343
12 Pb 0.259 0.208 0.843
13 Pb 0.449 0.551 0.058
14 Pb 0.473 0.078 0.580
15 Pb 0.527 0.922 0.080
16 Pb 0.551 0.449 0.558
17 Pb 0.741 0.792 0.343
18 Pb 0.792 0.741 0.843
19 Pb 0.818 0.182 0.351
20 Pb 0.922 0.527 0.580

(17)
Entry from Alexandria via LeMat-Bulk: a relaxed structure of In2BiPb (GGA-PBE).

Values from the calculation:
Volume, Å³ per atom: 30.07
DFT formation energy, eV/atom: 0.03

Unit cell a=5.439 b=5.439 c=5.439 alpha=115.50 beta=115.50 gamma=97.99
Fractional coordinates of all 4 atoms:
1 In 0.000 0.000 0.000
2 In 0.750 0.250 0.500
3 Bi 0.500 0.500 0.000
4 Pb 0.250 0.750 0.500

(18)
Entry from Alexandria via LeMat-Bulk: a relaxed structure of InBi7Pb12 (GGA-PBE).

Values from the calculation:
Volume, Å³ per atom: 33.00
DFT formation energy, eV/atom: 0.06

Unit cell a=9.270 b=9.294 c=9.303 alpha=107.26 beta=107.57 gamma=107.38
Fractional coordinates of all 20 atoms:
1 In 0.000 0.000 0.000
2 Bi 0.046 0.344 0.928
3 Bi 0.073 0.955 0.657
4 Bi 0.344 0.928 0.046
5 Bi 0.500 0.500 0.500
6 Bi 0.656 0.072 0.954
7 Bi 0.927 0.045 0.343
8 Bi 0.954 0.656 0.072
9 Pb 0.011 0.398 0.287
10 Pb 0.234 0.386 0.668
11 Pb 0.288 0.009 0.398
12 Pb 0.332 0.765 0.614
13 Pb 0.387 0.668 0.235
14 Pb 0.399 0.288 0.010
15 Pb 0.601 0.712 0.990
16 Pb 0.613 0.332 0.765
17 Pb 0.668 0.235 0.386
18 Pb 0.712 0.991 0.602
19 Pb 0.766 0.614 0.332
20 Pb 0.989 0.602 0.713

(19)
Entry from Alexandria via LeMat-Bulk: a relaxed structure of In6Bi5Pb (GGA-PBE).

Values from the calculation:
Volume, Å³ per atom: 30.23
DFT formation energy, eV/atom: 0.04

Unit cell a=9.541 b=9.541 c=4.463 alpha=103.04 beta=103.04 gamma=105.69
Fractional coordinates of all 12 atoms:
1 In 0.085 0.416 0.750
2 In 0.249 0.249 0.249
3 In 0.416 0.085 0.750
4 In 0.584 0.915 0.250
5 In 0.751 0.751 0.751
6 In 0.915 0.584 0.250
7 Bi 0.000 0.000 0.500
8 Bi 0.166 0.834 0.000
9 Bi 0.331 0.669 0.500
10 Bi 0.669 0.331 0.500
11 Bi 0.834 0.166 0.000
12 Pb 0.500 0.500 0.000